(1)
DFT (PBE-GGA) results for crystalline BeC at its relaxed geometry.

Cell: 2.4878 2.4878 4.5914 Å, 90.00 90.00 90.00°
Element x y z (fractional)
Be (0.2500, 0.2500, 0.1946)
Be (0.7500, 0.7500, 0.8054)
C (0.2500, 0.7500, 0.5000)
C (0.7500, 0.2500, 0.5000)

Summary:
Mass density: 2457 kg/m³
Energy relative to the elements: 1.117 eV/atom

(2)
DFT (PBE-GGA) results for crystalline La2USb3 at its relaxed geometry.

Cell: 10.1543 10.1543 10.1543 Å, 154.12 154.12 36.92°
Element x y z (fractional)
La (0.1672, 0.1672, 0.0000)
La (0.8328, 0.8328, 0.0000)
U (0.5000, 0.5000, 0.0000)
Sb (0.0000, 0.0000, 0.0000)
Sb (0.3377, 0.3377, 0.0000)
Sb (0.6623, 0.6623, 0.0000)

Summary:
Mass density: 7347 kg/m³
Formation energy from raw total energies: -0.884 eV per atom

(3)
DFT (PBE-GGA) results for crystalline DyCdAg3 at its relaxed geometry.

Cell: 5.0435 6.2338 7.1265 Å, 90.00 109.27 90.00°
Element x y z (fractional)
Dy (0.1103, 0.2500, 0.2144)
Dy (0.8897, 0.7500, 0.7856)
Cd (0.1306, 0.7500, 0.2781)
Cd (0.8694, 0.2500, 0.7219)
Ag (0.3185, 0.5028, 0.6329)
Ag (0.3185, 0.9972, 0.6329)
Ag (0.4986, 0.7500, 0.0186)
Ag (0.5014, 0.2500, 0.9814)
Ag (0.6815, 0.0028, 0.3671)
Ag (0.6815, 0.4972, 0.3671)

Summary:
Mass density: 9398 kg/m³
Energy relative to the elements: -0.152 eV/atom

(4)
DFT (PBE-GGA) results for crystalline LiTa2Br at its relaxed geometry.

Cell: 2.9924 2.9924 8.6825 Å, 90.00 90.00 90.00°
Element x y z (fractional)
Li (0.0000, 0.0000, 0.0000)
Ta (0.0000, 0.0000, 0.5139)
Ta (0.5000, 0.5000, 0.2686)
Br (0.5000, 0.5000, 0.7326)

Summary:
Mass density: 9584 kg/m³
Formation energy from raw total energies: 0.225 eV per atom